Density functional theory data (PBE-GGA) for a geometry-optimized Sr3TaF structure.

Summary:
Total moment ... 2.05 μB per cell
Uncorrected formation energy ... 0.55 eV per atom
V ... 225.15 Å³/f.u.
Relative energy among the computed polymorphs ... 0.9355 eV per atom
Uncorrected energy ... -3.206 eV/atom

The structure in CIF format:
```
data_Sr3TaF
_chemical_formula_sum 'Sr3 Ta1 F1'
_space_group_name_H-M_alt 'P 1'
_space_group_IT_number 1
_space_group_name_Hall 'P 1'
_cell_length_a 6.084
_cell_length_b 6.084
_cell_length_c 6.084
_cell_angle_alpha 90.00
_cell_angle_beta 90.00
_cell_angle_gamma 90.00
loop_
_atom_site_label
_atom_site_fract_x
_atom_site_fract_y
_atom_site_fract_z
_atom_site_occupancy
Sr1 0.000 0.000 0.500 1
Sr2 0.000 0.500 0.000 1
Sr3 0.500 0.000 0.000 1
Ta1 0.000 0.000 0.000 1
F1 0.500 0.500 0.500 1
```